## NaBeAs2S (GGA-PBE)

Data for a geometry-optimized NaBeAs2S structure.

Unit cell a=4.2682 b=4.2682 c=5.6229 alpha=90.00 beta=90.00 gamma=90.00
Closest atoms and distances in Å follow each position.
Fractional positions:
Na 0.0000 0.0000 0.0000  2 Be 2.81, 4 S 3.02
Be 0.0000 0.0000 0.5000  4 As 2.13
As 0.0000 0.5000 0.5000  2 Be 2.13
As 0.5000 0.0000 0.5000  2 Be 2.13
S 0.5000 0.5000 0.0000  4 Na 3.02

Calculated values
Size of the total moment = 0.00 μB/f.u.
Raw formation energy = 1.55 eV/f.u.
DFT total energy = -3.3842 eV per atom
Mass density = 3.47 Mg/m³

---

## NaBeAs2Se (GGA-PBE)

Data for a geometry-optimized NaBeAs2Se structure.

Unit cell a=4.9897 b=4.9897 c=5.0074 alpha=90.00 beta=90.00 gamma=90.00
Closest atoms and distances in Å follow each position.
Fractional positions:
Na 0.0000 0.0000 0.0000  4 As 2.49, 2 Se 2.50
Be 0.5000 0.5000 0.5000  4 Se 3.53, 8 As 3.53
As 0.0000 0.5000 0.0000  2 Na 2.49
As 0.5000 0.0000 0.0000  2 Na 2.49
Se 0.0000 0.0000 0.5000  2 Na 2.50

Calculated values
Size of the total moment = 0.00 μB/f.u.
Raw formation energy = 6.79 eV/f.u.
Energy above the most stable polymorph in this dataset = 1.250 eV per atom
DFT total energy = -2.2072 eV per atom
Mass density = 3.47 Mg/m³

---

Question: Which formula does entry 2 have?
Answer: NaBeAs2Se

---

Question: The lowest DFT total energy belongs to which entry?
Answer: NaBeAs2S

---

Question: Which formula does entry 2 have?
Answer: NaBeAs2Se